Zr2ScTa | Alexandria | PBEsol | optimized geometry; magnetization = 0.00 μB per formula unit; space-group type = P2/m (10); DFT formation energy = 0.15 eV per atom; final energy = -9.18 eV/atom
1.0
2.9902 0.0000 0.0000
0.0000 4.7754 0.0000
-1.3237 0.0000 5.8463
Zr Sc Ta
2 1 1
Direct
0.2030 0.0000 0.2702
0.7970 0.0000 0.7298
0.5000 0.5000 0.0000
0.0000 0.5000 0.5000

CrAs2PdBr | Alexandria | PBEsol | optimized geometry; magnetization = 3.75 μB per formula unit; space-group type = P4/mmm (123); E_form (uncorrected) = 17.01 kcal/mol of atoms; final energy = -4.92 eV/atom
1.0
4.7602 0.0000 0.0000
0.0000 4.7602 0.0000
0.0000 0.0000 5.1481
Cr As Pd Br
1 2 1 1
Direct
0.0000 0.0000 0.0000
0.0000 0.5000 0.5000
0.5000 0.0000 0.5000
0.5000 0.5000 0.5000
0.5000 0.5000 0.0000

BeSb5 | Alexandria | PBEsol | optimized geometry; magnetization = 0.00 μB per formula unit; space-group type = F-43m (216); E_form (uncorrected) = 17.11 kcal/mol of atoms; final energy = -3.72 eV/atom
1.0
0.0000 4.3134 4.3134
4.3134 0.0000 4.3134
4.3134 4.3134 0.0000
Be Sb
1 5
Direct
0.0000 0.0000 0.0000
0.1235 0.6255 0.6255
0.2500 0.2500 0.2500
0.6255 0.1235 0.6255
0.6255 0.6255 0.1235
0.6255 0.6255 0.6255

Sr2CaAs | Alexandria | PBEsol | optimized geometry; magnetization = 0.00 μB per formula unit; space-group type = P4/mmm (123); DFT formation energy = -0.40 eV per atom; final energy = -3.13 eV/atom
1.0
5.1213 0.0000 0.0000
0.0000 5.1213 0.0000
0.0000 0.0000 4.7795
Sr Ca As
2 1 1
Direct
0.0000 0.5000 0.0000
0.5000 0.0000 0.0000
0.0000 0.0000 0.5000
0.5000 0.5000 0.5000

Li2PtAu | Alexandria | PBEsol | optimized geometry; magnetization = 0.00 μB per formula unit; space-group type = Pmmm (47); DFT formation energy = -0.49 eV per atom; final energy = -4.20 eV/atom
1.0
2.7544 0.0000 0.0000
0.0000 3.6587 0.0000
0.0000 0.0000 5.5043
Li Pt Au
2 1 1
Direct
0.0000 0.0000 0.2339
0.0000 0.0000 0.7661
0.5000 0.5000 0.0000
0.5000 0.5000 0.5000

TlFe2Ag | Alexandria | PBEsol | optimized geometry; magnetization = 5.24 μB per formula unit; excess energy over the best structure of this formula in the dataset = 219 meV per atom; space-group type = P4/mmm (123); DFT formation energy = 0.59 eV per atom; final energy = -5.37 eV/atom
1.0
2.8617 0.0000 0.0000
0.0000 2.8617 0.0000
0.0000 0.0000 7.5655
Tl Fe Ag
1 2 1
Direct
0.0000 0.0000 0.0000
0.5000 0.5000 0.2648
0.5000 0.5000 0.7352
0.0000 0.0000 0.5000